The following is a DFT calculation (PBE-GGA) of a relaxed structure of ZrCNO2.

Computed properties:
**Crystal system**: tetragonal
**Raw total energy**: -32.974 eV/cell

Geometry as POSCAR:
```
ZrCNO2
1.0
4.113 0.000 0.000
0.000 4.113 0.000
0.000 0.000 4.474
Zr C N O
1 1 1 2
direct
0.000 0.000 0.000
0.500 0.500 0.500
0.000 0.000 0.500
0.000 0.500 0.000
0.500 0.000 0.000
```



The following is a DFT calculation (PBE-GGA) of a relaxed structure of ZrCN2O.

Computed properties:
**Crystal system**: tetragonal
**Raw total energy**: -37.325 eV/cell

Geometry as POSCAR:
```
ZrCN2O
1.0
3.375 0.000 0.000
0.000 3.375 0.000
0.000 0.000 3.649
Zr C N O
1 1 2 1
direct
0.000 0.000 0.000
0.500 0.500 0.500
0.000 0.500 0.500
0.500 0.000 0.500
0.500 0.500 0.000
```



The following is a DFT calculation (PBE-GGA) of a relaxed structure of Zr8C3N4O.

Computed properties:
**Crystal system**: trigonal
**Raw total energy**: -158.315 eV/cell

Geometry as POSCAR:
```
Zr8C3N4O
1.0
3.301 1.906 5.369
-3.301 1.906 5.369
0.000 -3.812 5.369
Zr C N O
8 3 4 1
direct
0.240 0.756 0.756
0.244 0.244 0.760
0.244 0.760 0.244
0.249 0.249 0.249
0.751 0.751 0.751
0.756 0.240 0.756
0.756 0.756 0.240
0.760 0.244 0.244
0.000 0.000 0.500
0.000 0.500 0.000
0.500 0.000 0.000
0.000 0.000 0.000
0.000 0.500 0.500
0.500 0.000 0.500
0.500 0.500 0.000
0.500 0.500 0.500
```



The following is a DFT calculation (PBE-GGA) of a relaxed structure of ZrCNO2.

Computed properties:
**Crystal system**: tetragonal
**Raw total energy**: -36.646 eV/cell

Geometry as POSCAR:
```
ZrCNO2
1.0
3.466 0.000 0.000
0.000 3.466 0.000
0.000 0.000 3.536
Zr C N O
1 1 1 2
direct
0.000 0.000 0.000
0.500 0.500 0.500
0.500 0.500 0.000
0.000 0.500 0.500
0.500 0.000 0.500
```



The following is a DFT calculation (PBE-GGA) of a relaxed structure of Zr4CN2O.

Computed properties:
**Crystal system**: monoclinic
**Raw total energy**: -78.570 eV/cell

Geometry as POSCAR:
```
Zr4CN2O
1.0
5.692 0.000 0.000
0.000 3.279 0.000
-1.905 0.000 5.397
Zr C N O
4 1 2 1
direct
0.238 0.000 0.234
0.246 0.500 0.759
0.754 0.500 0.241
0.762 0.000 0.766
0.500 0.000 0.000
0.000 0.000 0.500
0.000 0.500 0.000
0.500 0.500 0.500
```



The following is a DFT calculation (PBE-GGA) of a relaxed structure of Zr4C2NO.

Computed properties:
**Crystal system**: monoclinic
**Raw total energy**: -78.096 eV/cell

Geometry as POSCAR:
```
Zr4C2NO
1.0
5.727 0.000 0.000
0.000 3.297 0.000
-1.905 0.000 5.430
Zr C N O
4 2 1 1
direct
0.239 0.000 0.236
0.246 0.500 0.759
0.754 0.500 0.241
0.761 0.000 0.764
0.000 0.500 0.000
0.500 0.000 0.000
0.000 0.000 0.500
0.500 0.500 0.500
```



The following is a DFT calculation (PBE-GGA) of a relaxed structure of OsCN.

Computed properties:
**Crystal system**: trigonal
**Raw total energy**: -26.752 eV/cell
**Relative energy among the computed polymorphs**: 0.22 eV per formula unit

Geometry as POSCAR:
```
OsCN
1.0
2.988 0.000 0.000
-1.494 2.588 0.000
0.000 0.000 3.794
Os C N
1 1 1
direct
0.000 0.000 0.000
0.667 0.333 0.685
0.667 0.333 0.312
```



The following is a DFT calculation (PBE-GGA) of a relaxed structure of OsCN.

Computed properties:
**Crystal system**: monoclinic
**Raw total energy**: -26.868 eV/cell
**Relative energy among the computed polymorphs**: 0.10 eV per formula unit

Geometry as POSCAR:
```
OsCN
1.0
2.521 -1.445 0.000
2.521 1.445 0.000
-1.690 0.000 3.957
Os C N
1 1 1
direct
0.000 0.000 0.000
0.443 0.443 0.329
0.553 0.553 0.661
```



| no. | E_form (uncorrected) (meV/atom) | DOS(E_F) (states/eV per atom) |
| --- | --- | --- |
| 1 | 608 | 0.734 |
| 2 | 411 | 0.103 |
| 3 | -1500 | 0.286 |
| 4 | -127 | 0.192 |
| 5 | -1693 | 0.319 |
| 6 | -1521 | 0.262 |
| 7 | 676 | 0.542 |
| 8 | 637 | 0.701 |